First-principles (PBE-GGA) data for crystalline CrHPd3 at its relaxed geometry, as listed in Alexandria.

a = 4.900 Å, b = 7.562 Å, c = 7.515 Å
α = 90.00°, β = 90.00°, γ = 90.00°
Element x y z (fractional)
Cr  0.000  0.000  0.000
Cr  0.000  0.500  0.000
Cr  0.500  0.000  0.500
Cr  0.500  0.500  0.500
H  0.020  0.250  0.485
H  0.480  0.750  0.985
H  0.520  0.250  0.015
H  0.980  0.750  0.515
Pd  0.028  0.575  0.340
Pd  0.028  0.925  0.340
Pd  0.229  0.750  0.680
Pd  0.271  0.250  0.180
Pd  0.472  0.075  0.840
Pd  0.472  0.425  0.840
Pd  0.528  0.575  0.160
Pd  0.528  0.925  0.160
Pd  0.729  0.750  0.820
Pd  0.771  0.250  0.320
Pd  0.972  0.075  0.660
Pd  0.972  0.425  0.660

Results
- E_tot: -5.55 eV/atom
- V: 13.92 Å³ per atom
- Magnetic moment: 3.6 μB per formula unit